(1)
A plane-wave DFT calculation with GGA-PBEsol was carried out for crystalline Be2Nb2Ir at its relaxed geometry.

a = 6.093 Å, b = 6.093 Å, c = 3.487 Å
α = 90.00°, β = 90.00°, γ = 90.00°
Atoms (fractional coordinates):
Be  0.125  0.375  0.000
Be  0.375  0.875  0.000
Be  0.625  0.125  0.000
Be  0.875  0.625  0.000
Nb  0.173  0.673  0.500
Nb  0.327  0.173  0.500
Nb  0.673  0.827  0.500
Nb  0.827  0.327  0.500
Ir  0.000  0.000  0.000
Ir  0.500  0.500  0.000

Formation energy ... -0.443 eV per atom
Total magnetic moment ... 0.00 μB/f.u.
Crystal system ... tetragonal
Mass density ... 10.162 g/cm3
Calculated total energy ... -83.36 eV/cell

(2)
A plane-wave DFT calculation with GGA-PBEsol was carried out for crystalline LaSnAs3 at its relaxed geometry.

a = 5.473 Å, b = 5.473 Å, c = 5.473 Å
α = 90.00°, β = 90.00°, γ = 90.00°
Atoms (fractional coordinates):
La  0.000  0.000  0.000
Sn  0.500  0.500  0.500
As  0.000  0.000  0.500
As  0.000  0.500  0.000
As  0.500  0.000  0.000

Formation energy ... 0.590 eV per atom
Total magnetic moment ... 0.00 μB/f.u.
Crystal system ... cubic
Mass density ... 4.886 g/cm3
Calculated total energy ... -21.98 eV/cell

(3)
A plane-wave DFT calculation with GGA-PBEsol was carried out for crystalline LiCoS2 at its relaxed geometry.

a = 3.371 Å, b = 3.371 Å, c = 5.567 Å
α = 90.00°, β = 90.00°, γ = 120.00°
Atoms (fractional coordinates):
Li  0.000  0.000  0.000
Co  0.000  0.000  0.500
S  0.333  0.667  0.702
S  0.667  0.333  0.298

Uncorrected formation energy ... -830 meV/atom
Total magnetic moment ... 0.00 μB/f.u.
Energy above the lowest structure with this stoichiometry ... 0.00 eV/f.u.
Crystal system ... trigonal
Mass density ... 3.941 g/cm3
Calculated total energy ... -21.79 eV/cell

(4)
A plane-wave DFT calculation with GGA-PBEsol was carried out for crystalline RbPt3O at its relaxed geometry.

a = 4.412 Å, b = 4.412 Å, c = 4.412 Å
α = 90.00°, β = 90.00°, γ = 90.00°
Atoms (fractional coordinates):
Rb  0.000  0.000  0.000
Pt  0.000  0.500  0.500
Pt  0.500  0.000  0.500
Pt  0.500  0.500  0.000
O  0.500  0.500  0.500

Uncorrected formation energy ... 738 meV/atom
Total magnetic moment ... 0.00 μB/f.u.
Crystal system ... cubic
Mass density ... 13.275 g/cm3
Calculated total energy ... -23.47 eV/cell

(5)
A plane-wave DFT calculation with GGA-PBEsol was carried out for crystalline Mg2TiGeS at its relaxed geometry.

a = 4.646 Å, b = 4.646 Å, c = 4.536 Å
α = 90.00°, β = 90.00°, γ = 90.00°
Atoms (fractional coordinates):
Mg  0.000  0.500  0.000
Mg  0.500  0.000  0.000
Ti  0.000  0.000  0.500
Ge  0.500  0.500  0.500
S  0.000  0.000  0.000

Uncorrected formation energy ... -190 meV/atom
Total magnetic moment ... 0.01 μB/f.u.
Crystal system ... tetragonal
Mass density ... 3.411 g/cm3
Calculated total energy ... -22.03 eV/cell

(6)
A plane-wave DFT calculation with GGA-PBEsol was carried out for crystalline BaBe2Tl at its relaxed geometry.

a = 6.983 Å, b = 6.983 Å, c = 6.983 Å
α = 90.00°, β = 90.00°, γ = 90.00°
Atoms (fractional coordinates):
Ba  0.000  0.000  0.000
Ba  0.000  0.500  0.500
Ba  0.500  0.000  0.500
Ba  0.500  0.500  0.000
Be  0.250  0.250  0.250
Be  0.250  0.250  0.750
Be  0.250  0.750  0.250
Be  0.250  0.750  0.750
Be  0.750  0.250  0.250
Be  0.750  0.250  0.750
Be  0.750  0.750  0.250
Be  0.750  0.750  0.750
Tl  0.000  0.000  0.500
Tl  0.000  0.500  0.000
Tl  0.500  0.000  0.000
Tl  0.500  0.500  0.500

Formation energy ... 0.519 eV per atom
Total magnetic moment ... 0.00 μB/f.u.
Energy above the lowest structure with this stoichiometry ... 0.00 eV/f.u.
Crystal system ... cubic
Mass density ... 7.017 g/cm3
Calculated total energy ... -42.82 eV/cell

(7)
A plane-wave DFT calculation with GGA-PBEsol was carried out for crystalline YSiTe2 at its relaxed geometry.

a = 4.189 Å, b = 4.245 Å, c = 11.182 Å
α = 90.00°, β = 90.00°, γ = 90.00°
Atoms (fractional coordinates):
Y  0.000  0.000  0.000
Y  0.000  0.500  0.500
Si  0.500  0.000  0.820
Si  0.500  0.500  0.320
Te  0.000  0.000  0.300
Te  0.000  0.500  0.800
Te  0.500  0.000  0.589
Te  0.500  0.500  0.089

Uncorrected formation energy ... -761 meV/atom
Total magnetic moment ... 0.00 μB/f.u.
Crystal system ... orthorhombic
Mass density ... 6.216 g/cm3
Calculated total energy ... -45.33 eV/cell

(8)
A plane-wave DFT calculation with GGA-PBEsol was carried out for crystalline Be3WAu at its relaxed geometry.

a = 4.237 Å, b = 4.237 Å, c = 4.237 Å
α = 90.00°, β = 90.00°, γ = 90.00°
Atoms (fractional coordinates):
Be  0.000  0.000  0.500
Be  0.000  0.500  0.000
Be  0.500  0.000  0.000
W  0.000  0.000  0.000
Au  0.500  0.500  0.500

Formation energy ... 1.583 eV per atom
Total magnetic moment ... 0.00 μB/f.u.
Energy above the lowest structure with this stoichiometry ... 2.10 eV/f.u.
Crystal system ... cubic
Mass density ... 8.904 g/cm3
Calculated total energy ... -21.82 eV/cell

(9)
A plane-wave DFT calculation with GGA-PBEsol was carried out for crystalline ZnAsP2 at its relaxed geometry.

a = 2.582 Å, b = 2.582 Å, c = 9.679 Å
α = 90.00°, β = 90.00°, γ = 90.00°
Atoms (fractional coordinates):
Zn  0.000  0.000  0.000
As  0.000  0.000  0.500
P  0.500  0.500  0.213
P  0.500  0.500  0.787

Formation energy ... 0.442 eV per atom
Total magnetic moment ... 0.00 μB/f.u.
Energy above the lowest structure with this stoichiometry ... 1.56 eV/f.u.
Crystal system ... tetragonal
Mass density ... 5.207 g/cm3
Calculated total energy ... -16.50 eV/cell

(10)
A plane-wave DFT calculation with GGA-PBEsol was carried out for crystalline MgVSiO5 at its relaxed geometry.

a = 5.111 Å, b = 5.373 Å, c = 6.880 Å
α = 105.31°, β = 101.54°, γ = 108.54°
Atoms (fractional coordinates):
Mg  0.155  0.282  0.212
Mg  0.845  0.718  0.788
V  0.500  0.000  0.000
V  0.500  0.000  0.500
Si  0.189  0.321  0.741
Si  0.811  0.679  0.259
O  0.104  0.803  0.463
O  0.188  0.133  0.899
O  0.192  0.624  0.877
O  0.409  0.057  0.248
O  0.475  0.358  0.659
O  0.525  0.642  0.341
O  0.591  0.943  0.752
O  0.808  0.376  0.123
O  0.812  0.867  0.101
O  0.896  0.197  0.537

Uncorrected formation energy ... -2606 meV/atom
Total magnetic moment ... 1.00 μB/f.u.
Crystal system ... triclinic
Mass density ... 3.708 g/cm3
Calculated total energy ... -128.38 eV/cell

(11)
A plane-wave DFT calculation with GGA-PBEsol was carried out for crystalline BaPr3Ni2O8 at its relaxed geometry.

a = 5.380 Å, b = 6.814 Å, c = 6.814 Å
α = 46.43°, β = 90.00°, γ = 90.00°
Atoms (fractional coordinates):
Ba  0.000  0.000  0.000
Pr  0.000  0.278  0.278
Pr  0.500  0.510  0.510
Pr  0.500  0.783  0.783
Ni  0.000  0.643  0.643
Ni  0.500  0.141  0.141
O  0.000  0.469  0.469
O  0.000  0.799  0.799
O  0.259  0.408  0.894
O  0.259  0.894  0.408
O  0.500  0.321  0.321
O  0.500  0.971  0.971
O  0.741  0.408  0.894
O  0.741  0.894  0.408

Uncorrected formation energy ... -2428 meV/atom
Total magnetic moment ... 0.43 μB/f.u.
Crystal system ... orthorhombic
Mass density ... 7.390 g/cm3
Calculated total energy ... -106.00 eV/cell

(12)
A plane-wave DFT calculation with GGA-PBEsol was carried out for crystalline Li3ICl at its relaxed geometry.

a = 4.842 Å, b = 4.842 Å, c = 4.842 Å
α = 90.00°, β = 90.00°, γ = 90.00°
Atoms (fractional coordinates):
Li  0.000  0.000  0.500
Li  0.000  0.500  0.000
Li  0.500  0.000  0.000
I  0.500  0.500  0.500
Cl  0.000  0.000  0.000

Uncorrected formation energy ... -923 meV/atom
Total magnetic moment ... 0.00 μB/f.u.
Crystal system ... cubic
Mass density ... 2.679 g/cm3
Calculated total energy ... -14.29 eV/cell

(13)
A plane-wave DFT calculation with GGA-PBEsol was carried out for crystalline K4AlTe at its relaxed geometry.

a = 6.964 Å, b = 6.964 Å, c = 6.964 Å
α = 60.00°, β = 60.00°, γ = 60.00°
Atoms (fractional coordinates):
K  0.377  0.377  0.377
K  0.377  0.377  0.870
K  0.377  0.870  0.377
K  0.870  0.377  0.377
Al  0.000  0.000  0.000
Te  0.750  0.750  0.750

Uncorrected formation energy ... 243 meV/atom
Total magnetic moment ... 1.03 μB/f.u.
Crystal system ... cubic
Mass density ... 2.162 g/cm3
Calculated total energy ... -10.69 eV/cell